Record 1
Entry from the Alexandria database: Rb5MnCl8 after structural relaxation (PBE).

Geometry as POSCAR:
```
Rb5MnCl8
1.0
-4.830 4.830 5.375
4.830 -4.830 5.375
4.830 4.830 -5.375
Rb Mn Cl
5 1 8
Direct
0.000 0.000 0.000 Rb
0.251 0.670 0.146 Rb
0.330 0.476 0.581 Rb
0.524 0.105 0.854 Rb
0.895 0.749 0.419 Rb
0.750 0.250 0.500 Mn
0.018 0.258 0.690 Cl
0.191 0.777 0.800 Cl
0.223 0.024 0.414 Cl
0.568 0.328 0.310 Cl
0.610 0.809 0.586 Cl
0.672 0.982 0.240 Cl
0.742 0.432 0.760 Cl
0.976 0.390 0.200 Cl
```

Calculated values
Uncorrected energy ... -51.5 eV per cell
Formation energy without anion corrections ... -1.62 eV per atom

Record 2
Entry from the Alexandria database: RbMnCl3 after structural relaxation (PBE).

Geometry as POSCAR:
```
RbMnCl3
1.0
7.247 0.000 0.000
-3.624 6.276 0.000
0.000 0.000 12.077
Rb Mn Cl
4 4 12
Direct
0.000 0.000 0.000 Rb
0.000 0.000 0.500 Rb
0.333 0.667 0.250 Rb
0.667 0.333 0.750 Rb
0.333 0.667 0.618 Mn
0.333 0.667 0.882 Mn
0.667 0.333 0.118 Mn
0.667 0.333 0.382 Mn
0.000 0.500 0.000 Cl
0.000 0.500 0.500 Cl
0.175 0.350 0.750 Cl
0.175 0.825 0.750 Cl
0.350 0.175 0.250 Cl
0.500 0.000 0.000 Cl
0.500 0.000 0.500 Cl
0.500 0.500 0.000 Cl
0.500 0.500 0.500 Cl
0.650 0.825 0.750 Cl
0.825 0.175 0.250 Cl
0.825 0.650 0.250 Cl
```

Calculated values
Uncorrected energy ... -91.9 eV per cell
Formation energy without anion corrections ... -1.46 eV per atom

Question: Among the records above, which one has the highest uncorrected energy?
Answer: Rb5MnCl8